This record from Alexandria describes PuTiGa4 after structural relaxation. The functional is PBE-GGA.

```
data_PuTiGa4
_chemical_formula_sum 'Pu1 Ti1 Ga4'
_symmetry_space_group_name_H-M 'P 1'
_symmetry_Int_Tables_number 1
_cell_length_a 5.355
_cell_length_b 5.355
_cell_length_c 5.355
_cell_angle_alpha 60.00
_cell_angle_beta 60.00
_cell_angle_gamma 60.00
loop_
_symmetry_equiv_pos_as_xyz
'x,y,z'
loop_
_atom_site_label
_atom_site_type_symbol
_atom_site_fract_x
_atom_site_fract_y
_atom_site_fract_z
Ga1 Ga 0.625 0.124 0.625
Ga2 Ga 0.625 0.625 0.625
Ga3 Ga 0.625 0.625 0.124
Ga4 Ga 0.124 0.625 0.625
Ti1 Ti 0.000 0.000 0.000
Pu1 Pu 0.250 0.250 0.250
```

Computed properties:
Formation energy, eV/atom: -0.25
E_tot, eV/atom: -5.973
Space-group type: No. 216


This record from Alexandria describes Ba2InSiRu after structural relaxation. The functional is PBE-GGA.

```
data_Ba2InSiRu
_chemical_formula_sum 'Ba2 In1 Si1 Ru1'
_symmetry_space_group_name_H-M 'P 1'
_symmetry_Int_Tables_number 1
_cell_length_a 6.386
_cell_length_b 4.916
_cell_length_c 6.386
_cell_angle_alpha 90.00
_cell_angle_beta 90.00
_cell_angle_gamma 90.00
loop_
_symmetry_equiv_pos_as_xyz
'x,y,z'
loop_
_atom_site_label
_atom_site_type_symbol
_atom_site_fract_x
_atom_site_fract_y
_atom_site_fract_z
Ru1 Ru 0.000 0.500 0.000
Ba1 Ba 0.500 0.000 0.000
Ba2 Ba 0.000 0.000 0.500
In1 In 0.000 0.000 0.000
Si1 Si 0.500 0.500 0.500
```

Computed properties:
E_tot, eV/atom: -3.441
Space-group type: No. 123
Energy relative to the elements, uncorrected, eV/atom: 0.816


This record from Alexandria describes SnTe2Pb after structural relaxation. The functional is PBE-GGA.

```
data_SnTe2Pb
_chemical_formula_sum 'Sn1 Te2 Pb1'
_symmetry_space_group_name_H-M 'P 1'
_symmetry_Int_Tables_number 1
_cell_length_a 4.481
_cell_length_b 4.481
_cell_length_c 8.495
_cell_angle_alpha 74.71
_cell_angle_beta 74.71
_cell_angle_gamma 60.00
loop_
_symmetry_equiv_pos_as_xyz
'x,y,z'
loop_
_atom_site_label
_atom_site_type_symbol
_atom_site_fract_x
_atom_site_fract_y
_atom_site_fract_z
Pb1 Pb 0.492 0.492 0.525
Te1 Te 0.084 0.084 0.747
Te2 Te 0.261 0.261 0.217
Sn1 Sn 0.663 0.663 0.011
```

Computed properties:
E_tot, eV/atom: -3.800
Space-group type: No. 160
Energy relative to the elements, uncorrected, eV/atom: -0.301


This record from Alexandria describes CaPmMgGe after structural relaxation. The functional is PBE-GGA.

```
data_CaPmMgGe
_chemical_formula_sum 'Ca1 Pm1 Mg1 Ge1'
_symmetry_space_group_name_H-M 'P 1'
_symmetry_Int_Tables_number 1
_cell_length_a 5.256
_cell_length_b 5.256
_cell_length_c 5.256
_cell_angle_alpha 60.00
_cell_angle_beta 60.00
_cell_angle_gamma 60.00
loop_
_symmetry_equiv_pos_as_xyz
'x,y,z'
loop_
_atom_site_label
_atom_site_type_symbol
_atom_site_fract_x
_atom_site_fract_y
_atom_site_fract_z
Mg1 Mg 0.750 0.750 0.750
Pm1 Pm 0.500 0.500 0.500
Ge1 Ge 0.250 0.250 0.250
Ca1 Ca 0.000 0.000 0.000
```

Computed properties:
Formation energy, eV/atom: -0.33
E_tot, eV/atom: -3.570
Space-group type: No. 216


This record from Alexandria describes Y4Pd3 after structural relaxation. The functional is PBE-GGA.

```
data_Y4Pd3
_chemical_formula_sum 'Y4 Pd3'
_symmetry_space_group_name_H-M 'P 1'
_symmetry_Int_Tables_number 1
_cell_length_a 4.941
_cell_length_b 4.941
_cell_length_c 8.566
_cell_angle_alpha 73.24
_cell_angle_beta 73.24
_cell_angle_gamma 60.00
loop_
_symmetry_equiv_pos_as_xyz
'x,y,z'
loop_
_atom_site_label
_atom_site_type_symbol
_atom_site_fract_x
_atom_site_fract_y
_atom_site_fract_z
Pd1 Pd 0.751 0.751 0.748
Pd2 Pd 0.000 0.000 0.000
Pd3 Pd 0.249 0.249 0.252
Y1 Y 0.376 0.376 0.873
Y2 Y 0.624 0.624 0.127
Y3 Y 0.875 0.875 0.376
Y4 Y 0.125 0.125 0.624
```

Computed properties:
Formation energy, eV/atom: -0.71
E_tot, eV/atom: -6.628
Space-group type: No. 166


This record from Alexandria describes K8O5 after structural relaxation. The functional is PBE-GGA.

```
data_K8O5
_chemical_formula_sum 'K8 O5'
_symmetry_space_group_name_H-M 'P 1'
_symmetry_Int_Tables_number 1
_cell_length_a 8.125
_cell_length_b 8.125
_cell_length_c 7.225
_cell_angle_alpha 104.20
_cell_angle_beta 108.88
_cell_angle_gamma 119.62
loop_
_symmetry_equiv_pos_as_xyz
'x,y,z'
loop_
_atom_site_label
_atom_site_type_symbol
_atom_site_fract_x
_atom_site_fract_y
_atom_site_fract_z
O1 O 0.289 0.289 0.578
O2 O 0.000 0.000 0.000
O3 O 0.240 0.740 0.500
O4 O 0.760 0.260 0.500
O5 O 0.711 0.711 0.422
K1 K 0.313 0.013 0.326
K2 K 0.687 0.987 0.674
K3 K 0.839 0.001 0.280
K4 K 0.279 0.441 0.280
K5 K 0.801 0.468 0.269
K6 K 0.199 0.532 0.731
K7 K 0.161 0.999 0.720
K8 K 0.721 0.559 0.720
```

Computed properties:
E_tot, eV/atom: -3.525
Space-group type: No. 12
Energy relative to the elements, uncorrected, eV/atom: -0.943


This record from Alexandria describes NaHo2US6 after structural relaxation. The functional is PBE-GGA.

```
data_NaHo2US6
_chemical_formula_sum 'Na1 Ho2 U1 S6'
_symmetry_space_group_name_H-M 'P 1'
_symmetry_Int_Tables_number 1
_cell_length_a 6.897
_cell_length_b 6.897
_cell_length_c 7.365
_cell_angle_alpha 62.08
_cell_angle_beta 62.08
_cell_angle_gamma 59.99
loop_
_symmetry_equiv_pos_as_xyz
'x,y,z'
loop_
_atom_site_label
_atom_site_type_symbol
_atom_site_fract_x
_atom_site_fract_y
_atom_site_fract_z
S1 S 0.934 0.593 0.243
S2 S 0.143 0.384 0.753
S3 S 0.720 0.143 0.753
S4 S 0.593 0.230 0.243
S5 S 0.230 0.934 0.243
S6 S 0.384 0.720 0.753
U1 U 0.325 0.324 0.027
Ho1 Ho 0.521 0.520 0.439
Ho2 Ho 0.008 0.008 0.976
Na1 Na 0.805 0.805 0.586
```

Computed properties:
E_tot, eV/atom: -6.313
Space-group type: No. 146
Energy relative to the elements, uncorrected, eV/atom: -1.660


This record from Alexandria describes Ac2DyY2 after structural relaxation. The functional is PBE-GGA.

```
data_Ac2DyY2
_chemical_formula_sum 'Ac2 Dy1 Y2'
_symmetry_space_group_name_H-M 'P 1'
_symmetry_Int_Tables_number 1
_cell_length_a 4.909
_cell_length_b 4.909
_cell_length_c 8.995
_cell_angle_alpha 105.83
_cell_angle_beta 105.83
_cell_angle_gamma 90.00
loop_
_symmetry_equiv_pos_as_xyz
'x,y,z'
loop_
_atom_site_label
_atom_site_type_symbol
_atom_site_fract_x
_atom_site_fract_y
_atom_site_fract_z
Dy1 Dy 0.000 0.000 0.000
Ac1 Ac 0.250 0.750 0.500
Ac2 Ac 0.750 0.250 0.500
Y1 Y 0.592 0.592 0.184
Y2 Y 0.408 0.408 0.816
```

Computed properties:
Formation energy, eV/atom: 0.50
E_tot, eV/atom: -4.651
Space-group type: No. 139


This record from Alexandria describes BaVCd2W after structural relaxation. The functional is PBE-GGA.

```
data_BaVCd2W
_chemical_formula_sum 'Ba1 V1 Cd2 W1'
_symmetry_space_group_name_H-M 'P 1'
_symmetry_Int_Tables_number 1
_cell_length_a 5.554
_cell_length_b 4.840
_cell_length_c 5.554
_cell_angle_alpha 90.00
_cell_angle_beta 90.00
_cell_angle_gamma 90.00
loop_
_symmetry_equiv_pos_as_xyz
'x,y,z'
loop_
_atom_site_label
_atom_site_type_symbol
_atom_site_fract_x
_atom_site_fract_y
_atom_site_fract_z
Cd1 Cd 0.000 0.000 0.500
Cd2 Cd 0.500 0.000 0.000
V1 V 0.000 0.500 0.000
Ba1 Ba 0.000 0.000 0.000
W1 W 0.500 0.500 0.500
```

Computed properties:
Formation energy, eV/atom: 2.86
E_tot, eV/atom: -2.302
Space-group type: No. 123


This record from Alexandria describes Er2ThPaP4 after structural relaxation. The functional is PBE-GGA.

```
data_Er2ThPaP4
_chemical_formula_sum 'Er2 Th1 Pa1 P4'
_symmetry_space_group_name_H-M 'P 1'
_symmetry_Int_Tables_number 1
_cell_length_a 4.019
_cell_length_b 6.915
_cell_length_c 6.962
_cell_angle_alpha 70.44
_cell_angle_beta 90.00
_cell_angle_gamma 90.00
loop_
_symmetry_equiv_pos_as_xyz
'x,y,z'
loop_
_atom_site_label
_atom_site_type_symbol
_atom_site_fract_x
_atom_site_fract_y
_atom_site_fract_z
Er1 Er 0.500 0.000 0.500
Er2 Er 0.000 0.000 0.000
P1 P 0.000 0.244 0.259
P2 P 0.500 0.753 0.256
P3 P 0.000 0.756 0.741
P4 P 0.500 0.247 0.744
Th1 Th 0.500 0.500 0.000
Pa1 Pa 0.000 0.500 0.500
```

Computed properties:
Formation energy, eV/atom: -1.51
E_tot, eV/atom: -7.468
Space-group type: No. 10


This record from Alexandria describes KBe2VH after structural relaxation. The functional is PBE-GGA.

```
data_KBe2VH
_chemical_formula_sum 'K1 Be2 V1 H1'
_symmetry_space_group_name_H-M 'P 1'
_symmetry_Int_Tables_number 1
_cell_length_a 4.824
_cell_length_b 3.340
_cell_length_c 4.824
_cell_angle_alpha 90.00
_cell_angle_beta 90.00
_cell_angle_gamma 90.00
loop_
_symmetry_equiv_pos_as_xyz
'x,y,z'
loop_
_atom_site_label
_atom_site_type_symbol
_atom_site_fract_x
_atom_site_fract_y
_atom_site_fract_z
H1 H 0.000 0.500 0.000
Be1 Be 0.000 0.000 0.500
Be2 Be 0.500 0.000 0.000
K1 K 0.000 0.000 0.000
V1 V 0.500 0.500 0.500
```

Computed properties:
E_tot, eV/atom: -2.103
Space-group type: No. 123


Which formula does entry 3 have?
SnTe2Pb


What did the fourth record say?
This record from Alexandria describes CaPmMgGe after structural relaxation. The functional is PBE-GGA.

```
data_CaPmMgGe
_chemical_formula_sum 'Ca1 Pm1 Mg1 Ge1'
_symmetry_space_group_name_H-M 'P 1'
_symmetry_Int_Tables_number 1
_cell_length_a 5.256
_cell_length_b 5.256
_cell_length_c 5.256
_cell_angle_alpha 60.00
_cell_angle_beta 60.00
_cell_angle_gamma 60.00
loop_
_symmetry_equiv_pos_as_xyz
'x,y,z'
loop_
_atom_site_label
_atom_site_type_symbol
_atom_site_fract_x
_atom_site_fract_y
_atom_site_fract_z
Mg1 Mg 0.750 0.750 0.750
Pm1 Pm 0.500 0.500 0.500
Ge1 Ge 0.250 0.250 0.250
Ca1 Ca 0.000 0.000 0.000
```

Computed properties:
Formation energy, eV/atom: -0.33
E_tot, eV/atom: -3.570
Space-group type: No. 216